1.
# PBEsol LiCd2GeRh, optimized geometry
data_LiCd2GeRh
_symmetry_space_group_name_H-M 'P 4/m m m'
_symmetry_Int_Tables_number 123
_symmetry_space_group_name_Hall '-P 4 2'
_cell_length_a 5.134
_cell_length_b 5.134
_cell_length_c 4.594
_cell_angle_alpha 90.00
_cell_angle_beta 90.00
_cell_angle_gamma 90.00
loop_
_atom_site_label
_atom_site_fract_x
_atom_site_fract_y
_atom_site_fract_z
Li1 0.000 0.000 0.000
Cd1 0.000 0.500 0.500
Ge1 0.500 0.500 0.000
Rh1 0.500 0.500 0.500
# ΔE_f = -3 meV/atom
# calculated total energy = -3.49 eV per atom
# V = 24.215 A^3/atom
# DOS at the Fermi energy = 0.48 states/eV per atom

2.
# PBEsol NdVO4, optimized geometry
data_NdVO4
_symmetry_space_group_name_H-M 'I 41/a m d'
_symmetry_Int_Tables_number 141
_cell_length_a 7.329
_cell_length_b 7.329
_cell_length_c 6.391
_cell_angle_alpha 90.00
_cell_angle_beta 90.00
_cell_angle_gamma 90.00
loop_
_symmetry_equiv_pos_as_xyz
'x,y,z'
'-x,-y,-z'
'-y+1/4,x+3/4,z+1/4'
'y+1/4,-x+3/4,-z+1/4'
'-x+1/2,-y,z+1/2'
'x+1/2,y,-z+1/2'
'y+1/4,-x+1/4,z+3/4'
'-y+1/4,x+1/4,-z+3/4'
'x,-y,-z'
'-x,y,z'
'-y+1/4,-x+1/4,-z+3/4'
'y+1/4,x+1/4,z+3/4'
'-x+1/2,y,-z+1/2'
'x+1/2,-y,z+1/2'
'y+1/4,x+3/4,-z+1/4'
'-y+1/4,-x+3/4,z+1/4'
'x+1/2,y+1/2,z+1/2'
'-x+1/2,-y+1/2,-z+1/2'
'-y+3/4,x+1/4,z+3/4'
'y+3/4,-x+1/4,-z+3/4'
'-x,-y+1/2,z'
'x,y+1/2,-z'
'y+3/4,-x+3/4,z+1/4'
'-y+3/4,x+3/4,-z+1/4'
'x+1/2,-y+1/2,-z+1/2'
'-x+1/2,y+1/2,z+1/2'
'-y+3/4,-x+3/4,-z+1/4'
'y+3/4,x+3/4,z+1/4'
'-x,y+1/2,-z'
'x,-y+1/2,z'
'y+3/4,x+1/4,-z+3/4'
'-y+3/4,-x+1/4,z+3/4'
loop_
_atom_site_label
_atom_site_fract_x
_atom_site_fract_y
_atom_site_fract_z
Nd1 0.000 0.250 0.375
V1 0.000 0.250 0.875
O1 0.000 0.070 0.704
# calculated total energy = -8.98 eV per atom
# V = 14.305 A^3/atom
# DOS at the Fermi energy = 0.00 states/eV per atom
# ΔE_f (raw) = -3009 meV/atom

3.
# PBEsol FeCo, optimized geometry
data_FeCo
_symmetry_space_group_name_H-M 'R 3 m'
_symmetry_Int_Tables_number 160
_symmetry_space_group_name_Hall 'R 3 -2"'
_cell_length_a 3.9469
_cell_length_b 3.9469
_cell_length_c 19.3104
_cell_angle_alpha 90.00
_cell_angle_beta 90.00
_cell_angle_gamma 120.00
loop_
_atom_site_label
_atom_site_fract_x
_atom_site_fract_y
_atom_site_fract_z
Fe1 0.0000 0.0000 0.0000
Fe2 0.0000 0.0000 0.1265
Fe3 0.0000 0.0000 0.5018
Fe4 0.0000 0.0000 0.7510
Co1 0.0000 0.0000 0.2500
Co2 0.0000 0.0000 0.3763
Co3 0.0000 0.0000 0.6269
Co4 0.0000 0.0000 0.8763
# ΔE_f = 28 meV/atom
# calculated total energy = -8.32 eV per atom
# V = 10.855 A^3/atom
# DOS at the Fermi energy = 0.89 states/eV per atom

4.
# PBEsol CrCo2Ru, optimized geometry
data_CrCo2Ru
_symmetry_space_group_name_H-M 'P 4/m m m'
_symmetry_Int_Tables_number 123
_symmetry_space_group_name_Hall '-P 4 2'
_cell_length_a 2.496
_cell_length_b 2.496
_cell_length_c 7.099
_cell_angle_alpha 90.00
_cell_angle_beta 90.00
_cell_angle_gamma 90.00
loop_
_atom_site_label
_atom_site_fract_x
_atom_site_fract_y
_atom_site_fract_z
Cr1 0.000 0.000 0.000
Co1 0.500 0.500 0.240
Ru1 0.000 0.000 0.500
# ΔE_f = 113 meV/atom
# energy above the most stable polymorph in this dataset = 75.5 meV per atom
# calculated total energy = -8.86 eV per atom
# V = 11.060 A^3/atom
# DOS at the Fermi energy = 1.27 states/eV per atom

5.
# PBEsol HfIn3Pd, optimized geometry
data_HfIn3Pd
_symmetry_space_group_name_H-M 'P m -3 m'
_symmetry_Int_Tables_number 221
_symmetry_space_group_name_Hall '-P 4 2 3'
_cell_length_a 4.973
_cell_length_b 4.973
_cell_length_c 4.973
_cell_angle_alpha 90.00
_cell_angle_beta 90.00
_cell_angle_gamma 90.00
loop_
_atom_site_label
_atom_site_fract_x
_atom_site_fract_y
_atom_site_fract_z
Hf1 0.000 0.000 0.000
In1 0.000 0.500 0.500
Pd1 0.500 0.500 0.500
# ΔE_f = 343 meV/atom
# calculated total energy = -4.74 eV per atom
# V = 24.602 A^3/atom
# DOS at the Fermi energy = 0.49 states/eV per atom

6.
# PBEsol TlIr2Cl, optimized geometry
data_TlIr2Cl
_symmetry_space_group_name_H-M 'P 4/m m m'
_symmetry_Int_Tables_number 123
_symmetry_space_group_name_Hall '-P 4 2'
_cell_length_a 2.978
_cell_length_b 2.978
_cell_length_c 7.357
_cell_angle_alpha 90.00
_cell_angle_beta 90.00
_cell_angle_gamma 90.00
loop_
_atom_site_label
_atom_site_fract_x
_atom_site_fract_y
_atom_site_fract_z
Tl1 0.000 0.000 0.000
Ir1 0.500 0.500 0.264
Cl1 0.000 0.000 0.500
# energy above the most stable polymorph in this dataset = 574.2 meV per atom
# calculated total energy = -5.10 eV per atom
# V = 16.306 A^3/atom
# DOS at the Fermi energy = 1.03 states/eV per atom
# ΔE_f (raw) = 968 meV/atom

7.
# PBEsol ScCd, optimized geometry
data_ScCd
_symmetry_space_group_name_H-M 'P m -3 m'
_symmetry_Int_Tables_number 221
_symmetry_space_group_name_Hall '-P 4 2 3'
_cell_length_a 3.479
_cell_length_b 3.479
_cell_length_c 3.479
_cell_angle_alpha 90.00
_cell_angle_beta 90.00
_cell_angle_gamma 90.00
loop_
_atom_site_label
_atom_site_fract_x
_atom_site_fract_y
_atom_site_fract_z
Sc1 0.000 0.000 0.000
Cd1 0.500 0.500 0.500
# ΔE_f = -333 meV/atom
# calculated total energy = -4.23 eV per atom
# V = 21.062 A^3/atom
# DOS at the Fermi energy = 1.01 states/eV per atom

8.
# PBEsol Mg2ZnRh, optimized geometry
data_Mg2ZnRh
_symmetry_space_group_name_H-M 'C m c m'
_symmetry_Int_Tables_number 63
_symmetry_space_group_name_Hall '-C 2c 2'
_cell_length_a 8.057
_cell_length_b 6.729
_cell_length_c 4.854
_cell_angle_alpha 90.00
_cell_angle_beta 90.00
_cell_angle_gamma 90.00
loop_
_atom_site_label
_atom_site_fract_x
_atom_site_fract_y
_atom_site_fract_z
Mg1 0.183 0.153 0.250
Zn1 0.000 0.500 0.000
Rh1 0.000 0.176 0.750
# ΔE_f = -382 meV/atom
# calculated total energy = -3.67 eV per atom
# V = 16.448 A^3/atom
# DOS at the Fermi energy = 0.32 states/eV per atom

9.
# PBEsol La2BeHg, optimized geometry
data_La2BeHg
_symmetry_space_group_name_H-M 'I -4 m 2'
_symmetry_Int_Tables_number 119
_symmetry_space_group_name_Hall 'I -4 -2'
_cell_length_a 4.462
_cell_length_b 4.462
_cell_length_c 9.802
_cell_angle_alpha 90.00
_cell_angle_beta 90.00
_cell_angle_gamma 90.00
loop_
_atom_site_label
_atom_site_fract_x
_atom_site_fract_y
_atom_site_fract_z
La1 0.000 0.000 0.000
La2 0.000 0.500 0.250
Be1 0.000 0.000 0.500
Hg1 0.000 0.500 0.750
# ΔE_f = -10 meV/atom
# energy above the most stable polymorph in this dataset = 0.0 meV per atom
# calculated total energy = -3.83 eV per atom
# V = 24.398 A^3/atom
# DOS at the Fermi energy = 0.92 states/eV per atom

10.
# PBEsol ZrMnTe2, optimized geometry
data_ZrMnTe2
_symmetry_space_group_name_H-M 'I m m 2'
_symmetry_Int_Tables_number 44
_symmetry_space_group_name_Hall 'I 2 -2'
_cell_length_a 3.717
_cell_length_b 3.809
_cell_length_c 12.601
_cell_angle_alpha 90.00
_cell_angle_beta 90.00
_cell_angle_gamma 90.00
loop_
_atom_site_label
_atom_site_fract_x
_atom_site_fract_y
_atom_site_fract_z
Zr1 0.000 0.000 0.000
Mn1 0.000 0.500 0.731
Te1 0.000 0.000 0.405
Te2 0.000 0.500 0.169
# energy above the most stable polymorph in this dataset = 0.0 meV per atom
# calculated total energy = -6.86 eV per atom
# V = 22.302 A^3/atom
# DOS at the Fermi energy = 0.49 states/eV per atom
# ΔE_f (raw) = -384 meV/atom

11.
# PBEsol Ba2Sc2Sn, optimized geometry
data_Ba2Sc2Sn
_symmetry_space_group_name_H-M 'I 4/m m m'
_symmetry_Int_Tables_number 139
_symmetry_space_group_name_Hall '-I 4 2'
_cell_length_a 4.417
_cell_length_b 4.417
_cell_length_c 16.683
_cell_angle_alpha 90.00
_cell_angle_beta 90.00
_cell_angle_gamma 90.00
loop_
_atom_site_label
_atom_site_fract_x
_atom_site_fract_y
_atom_site_fract_z
Ba1 0.000 0.500 0.250
Sc1 0.000 0.000 0.076
Sn1 0.000 0.000 0.500
# ΔE_f = 505 meV/atom
# calculated total energy = -3.85 eV per atom
# V = 32.550 A^3/atom
# DOS at the Fermi energy = 0.99 states/eV per atom

12.
# PBEsol LiCr2Os, optimized geometry
data_LiCr2Os
_symmetry_space_group_name_H-M 'I m m 2'
_symmetry_Int_Tables_number 44
_symmetry_space_group_name_Hall 'I 2 -2'
_cell_length_a 2.823
_cell_length_b 4.194
_cell_length_c 8.104
_cell_angle_alpha 90.00
_cell_angle_beta 90.00
_cell_angle_gamma 90.00
loop_
_atom_site_label
_atom_site_fract_x
_atom_site_fract_y
_atom_site_fract_z
Li1 0.000 0.000 0.000
Cr1 0.000 0.000 0.517
Cr2 0.000 0.500 0.236
Os1 0.000 0.500 0.767
# ΔE_f = 281 meV/atom
# calculated total energy = -8.39 eV per atom
# V = 11.992 A^3/atom
# DOS at the Fermi energy = 0.81 states/eV per atom

DOS at the Fermi energy of number 2 (NdVO4)?
0.00 states/eV per atom

The lowest DOS at the Fermi energy belongs to which entry?
NdVO4

DOS at the Fermi energy of number 12 (LiCr2Os)?
0.81 states/eV per atom